DFT (PBE) results for crystalline Ac4HgPdI2 at its relaxed geometry.

## Properties
M_tot: 0.0 μB per cell
raw formation energy: -0.803 eV per atom
uncorrected energy: -3.93 eV per atom
D(E_F): 7.890 states/eV/cell

Unit cell a=8.0919 b=4.5544 c=8.7974 alpha=90.00 beta=107.12 gamma=90.00
With the nearest neighbours (Å) after each atom.
Space group P2/m (No. 10)
Unique sites:
Ac1 0.2230 0.0000 0.1970 (multiplicity 2)  2 Pd 3.10, 1 Hg 3.21
Ac2 0.2411 0.5000 0.7923 (multiplicity 2)  1 Pd 3.04, 2 Hg 3.27
Hg1 0.5000 0.0000 0.0000 (multiplicity 1)  6 Ac 3.21-3.27
Pd1 0.0000 0.5000 0.0000 (multiplicity 1)  6 Ac 3.04-3.10
I1 0.0000 0.0000 0.5000 (multiplicity 1)  6 Ac 3.56-3.63
I2 0.5000 0.5000 0.5000 (multiplicity 1)  6 Ac 3.71-3.76